[1]
Ho6SbS4 | PBE | relaxed

a = 3.967 Å, b = 6.685 Å, c = 19.915 Å
α = 90.00°, β = 90.00°, γ = 107.26°
Positions (direct):
Ho 0.500 0.000 0.000
Ho 0.500 0.000 0.500
Ho 0.044 0.087 0.341
Ho 0.956 0.913 0.659
Ho 0.956 0.913 0.841
Ho 0.044 0.087 0.159
Ho 0.772 0.543 0.412
Ho 0.228 0.457 0.588
Ho 0.228 0.457 0.912
Ho 0.772 0.543 0.088
Ho 0.347 0.694 0.250
Ho 0.653 0.306 0.750
Sb 0.666 0.333 0.250
Sb 0.334 0.667 0.750
S 0.860 0.721 0.538
S 0.409 0.818 0.122
S 0.140 0.279 0.462
S 0.591 0.182 0.878
S 0.860 0.721 0.962
S 0.140 0.279 0.038
S 0.591 0.182 0.622
S 0.409 0.818 0.378

total moment: 0.0 μB/f.u.
total DFT energy (no corrections): -132.45 eV per cell
crystal system: orthorhombic

=====

[2]
Nd4TeIr2 | PBE | relaxed

a = 8.789 Å, b = 8.789 Å, c = 8.782 Å
α = 119.94°, β = 119.94°, γ = 90.13°
Positions (direct):
Nd 0.857 0.144 0.287
Nd 0.393 0.606 0.213
Nd 0.857 0.570 0.713
Nd 0.856 0.143 0.712
Nd 0.430 0.143 0.288
Nd 0.393 0.180 0.787
Nd 0.394 0.607 0.788
Nd 0.820 0.607 0.212
Te 0.250 0.750 0.500
Te 0.000 0.000 0.000
Ir 0.625 0.375 0.750
Ir 0.625 0.875 0.250
Ir 0.625 0.375 0.250
Ir 0.125 0.375 0.750

energy above the most stable polymorph in this dataset: 47.8 meV per atom
total moment: 0.0 μB/f.u.
crystal system: tetragonal

=====

[3]
PmErBr2 | PBE | relaxed

a = 3.707 Å, b = 3.707 Å, c = 10.259 Å
α = 79.59°, β = 79.59°, γ = 60.00°
Positions (direct):
Pm 0.500 0.500 0.500
Br 0.094 0.094 0.717
Br 0.906 0.906 0.283
Er 0.000 0.000 0.000

total moment: 0.0 μB/f.u.
total DFT energy (no corrections): -16.81 eV per cell
crystal system: trigonal

=====

[4]
TmAs3Rh5 | PBE | relaxed

a = 3.853 Å, b = 6.739 Å, c = 12.676 Å
α = 90.00°, β = 90.00°, γ = 106.61°
Positions (direct):
Tm 0.898 0.796 0.750
Tm 0.102 0.204 0.250
As 0.381 0.763 0.959
As 0.873 0.745 0.250
As 0.381 0.763 0.541
As 0.619 0.237 0.459
As 0.127 0.255 0.750
As 0.619 0.237 0.041
Rh 0.797 0.594 0.426
Rh 0.203 0.406 0.926
Rh 0.000 0.000 0.500
Rh 0.000 0.000 0.000
Rh 0.453 0.905 0.145
Rh 0.547 0.095 0.855
Rh 0.547 0.095 0.645
Rh 0.797 0.594 0.074
Rh 0.203 0.406 0.574
Rh 0.453 0.905 0.355

formation energy: -0.55 eV per atom
total moment: 0.0 μB/f.u.
crystal system: orthorhombic

=====

[5]
NpUFeTc | PBE | relaxed

a = 4.697 Å, b = 4.697 Å, c = 4.697 Å
α = 60.00°, β = 60.00°, γ = 60.00°
Site moments in Bohr magnetons follow the coordinates.
Positions (direct):
Np 0.000 0.000 0.000  3.50
U 0.500 0.500 0.500  1.86
Tc 0.250 0.250 0.250  -0.57
Fe 0.750 0.750 0.750  -1.76

formation energy: 0.18 eV per atom
total moment: 3.5 μB/f.u.
crystal system: cubic

=====

[6]
Ta2Be2AlFe5 | PBE | relaxed

a = 3.052 Å, b = 8.694 Å, c = 8.694 Å
α = 90.00°, β = 90.00°, γ = 90.00°
Site moments in Bohr magnetons follow the coordinates.
Positions (direct):
Ta 0.000 0.676 0.176  -0.19
Ta 0.000 0.324 0.824  -0.19
Ta 0.000 0.176 0.324  -0.19
Ta 0.000 0.824 0.676  -0.19
Be 0.000 0.121 0.621  -0.04
Be 0.000 0.879 0.379  -0.04
Be 0.000 0.621 0.879  -0.04
Be 0.000 0.379 0.121  -0.04
Al 0.000 0.000 0.000  -0.02
Al 0.000 0.500 0.500  -0.02
Fe 0.500 0.213 0.067  0.73
Fe 0.500 0.787 0.933  0.73
Fe 0.500 0.067 0.787  0.73
Fe 0.500 0.713 0.433  0.73
Fe 0.500 0.933 0.213  0.73
Fe 0.500 0.287 0.567  0.73
Fe 0.500 0.567 0.713  0.73
Fe 0.500 0.433 0.287  0.73
Fe 0.500 0.500 0.000  0.28
Fe 0.500 0.000 0.500  0.28

formation energy: -0.24 eV per atom
total moment: 2.6 μB/f.u.
crystal system: tetragonal